# 1
Ba2LiHf | PBE | optimized geometry

a b c (Å): 8.2130 8.2130 8.2130
angles (deg): 90.00 90.00 90.00
Closest atoms and distances in Å follow each position.
Space group F-43m (No. 216)
Asymmetric unit:
Ba1 0.0000 0.0000 0.0000 (multiplicity 4)  4 Hf 3.56, 4 Ba 3.56
Ba2 0.2500 0.2500 0.2500 (multiplicity 4)  4 Ba 3.56, 4 Li 3.56
Li1 0.0000 0.0000 0.5000 (multiplicity 4)  4 Hf 3.56, 4 Ba 3.56
Hf1 0.2500 0.2500 0.7500 (multiplicity 4)  4 Ba 3.56, 4 Li 3.56

Output
* mass density: 5.516 g/cm³
* crystal system: cubic
* energy: -3.198 eV per atom


# 2
SmErSb | PBE | optimized geometry

a b c (Å): 7.2121 7.2121 7.2121
angles (deg): 90.00 90.00 90.00
Closest atoms and distances in Å follow each position.
Space group F-43m (No. 216)
Asymmetric unit:
Sm1 0.0000 0.0000 0.0000 (multiplicity 4)  4 Sb 3.12
Er1 0.0000 0.0000 0.5000 (multiplicity 4)  4 Sb 3.12
Sb1 0.2500 0.2500 0.7500 (multiplicity 4)  4 Er 3.12, 4 Sm 3.12

Output
* mass density: 7.780 g/cm³
* crystal system: cubic
* energy: -5.007 eV per atom